Below is a geometry-optimized KMnMoF6 structure, with properties calculated at the PBE+U level.

The space group is P-31c (No. 163) and the conventional cell measures 5.7450, 5.7450 and 11.1648 Å, with angles of 90.00, 90.00 and 120.00 degrees. The asymmetric unit holds K at (0.0000, 0.0000, 0.0000), Mn at (0.3333, 0.6667, 0.2500), Mo at (0.3333, 0.6667, 0.7500) and F at (0.0065, 0.3704, 0.6507).

For the density, the calculation gives 3.2 g cm⁻³. The uncorrected energy is -102.47 eV per cell. Its density of states at the Fermi level is 0.00 states/eV per cell.